PBE-GGA MoPCl, relaxed; calculated total energy = -5.145 eV/atom; E above lowest polymorph = 1080 meV/atom; theoretical density = 5.03 g/cm³
1.0
-2.565 -3.341 -0.403
1.616 -3.817 -0.849
-0.027 -3.016 2.967
Cl Mo P
1 1 1
Cartesian
0.000 0.000 0.000
-0.488 -5.087 0.858
-0.732 -7.631 1.287

***

PBE-GGA ReHPd2Rh, relaxed; calculated total energy = -6.451 eV/atom; theoretical density = 13.47 g/cm³
1.0
-1.901 3.181 -1.286
-3.219 -1.145 1.926
1.220 2.043 3.252
Pd Re Rh H
2 1 1 1
Cartesian
-1.610 -0.572 0.963
-0.950 1.591 -0.643
0.610 1.021 1.626
-1.950 2.040 1.946
0.000 0.000 0.000

***

PBE-GGA LaTbTh2, relaxed; ΔE_f = 0.18 eV per atom; calculated total energy = -5.924 eV/atom; E above lowest polymorph = 149 meV/atom; theoretical density = 9.46 g/cm³
1.0
-0.445 0.966 3.352
-3.174 -0.247 1.494
1.440 -11.393 5.319
Th Tb La
2 1 1
Cartesian
-2.917 -2.368 5.829
0.738 -8.305 4.336
-1.090 -5.337 5.083
0.000 0.000 0.000

***

PBE-GGA CsZnCd2, relaxed; ΔE_f = 0.08 eV per atom; calculated total energy = -0.905 eV/atom; theoretical density = 4.25 g/cm³
1.0
6.022 0.000 0.000
0.000 6.022 0.000
3.011 3.011 9.113
Cd Cs Zn
4 2 2
Cartesian
4.517 6.022 6.835
7.528 6.022 6.835
3.011 4.517 2.278
3.011 1.506 2.278
6.022 3.011 4.557
0.000 0.000 0.000
3.011 3.011 0.000
3.011 6.022 4.557

***

PBE-GGA Sc6GaOs5, relaxed; ΔE_f = -0.44 eV per atom; calculated total energy = -8.532 eV/atom; theoretical density = 10.53 g/cm³
1.0
-1.777 3.904 -1.556
-5.101 -0.722 4.015
6.773 1.863 3.626
Ga Os Sc
1 5 6
Cartesian
0.000 0.000 0.000
-2.327 2.743 2.849
-0.303 1.968 5.282
0.197 3.077 0.804
-2.551 -0.361 2.008
2.222 2.302 3.236
-4.649 1.420 2.181
2.545 4.399 1.438
-0.167 0.997 2.693
0.061 4.047 3.393
-2.651 0.646 4.648
-2.230 1.762 0.278

***

PBE-GGA Rb3VN, relaxed; calculated total energy = -2.363 eV/atom; theoretical density = 1.64 g/cm³
1.0
-3.749 -4.318 3.832
-1.676 -3.557 -5.649
5.524 -4.010 0.886
V Rb N
1 3 1
Cartesian
0.000 0.000 0.000
-1.874 -2.159 1.916
-0.838 -1.779 -2.824
2.762 -2.005 0.443
0.049 -5.942 -0.466

***

PBE-GGA ScBeIn2As, relaxed; ΔE_f = 0.22 eV per atom; calculated total energy = -3.815 eV/atom; theoretical density = 5.45 g/cm³
1.0
-0.843 -2.722 -4.099
4.306 -0.123 -0.804
0.384 -4.182 2.698
Be As In Sc
1 1 2 1
Cartesian
0.000 0.000 0.000
2.153 -0.061 -0.402
0.192 -2.091 1.349
-0.421 -1.361 -2.049
1.924 -3.513 -1.102

***

PBE-GGA LaHoTlAg, relaxed; ΔE_f = -0.32 eV per atom; calculated total energy = -4.002 eV/atom; E above lowest polymorph = 22 meV/atom; theoretical density = 9.16 g/cm³
1.0
-2.919 -1.959 4.105
-1.016 -5.299 0.306
2.379 -2.991 3.822
Ag Tl Ho La
1 1 1 1
Cartesian
-0.389 -2.562 2.058
-1.168 -7.687 6.175
0.000 0.000 0.000
-0.778 -5.125 4.117